Entry from the Alexandria database: CaY2IrC after structural relaxation (PBE).

Space group: P4/mmm
Formation enthalpy at 0 K (eV/atom): 0.899

a = 5.2785 Å, b = 5.3481 Å, c = 5.2785 Å
α = 90.00°, β = 90.00°, γ = 90.00°
Fractional coordinates of all 5 atoms:
Y  0.0000  0.0000  0.5000
Y  0.5000  0.0000  0.0000
Ca  0.0000  0.5000  0.0000
Ir  0.0000  0.0000  0.0000
C  0.5000  0.5000  0.5000